An optimized crystal structure of Li3TiCr2O6. Source: Alexandria, functional PBE with a Hubbard U.

Values from the calculation:
Its space-group type is No. 12. The crystal system is monoclinic. The value obtained for the total energy is -85.10 eV per cell.

```
12
Lattice="15.595 -0.037 -0.023 9.555 2.810 -0.019 9.555 1.272 2.505" Properties=species:S:1:pos:R:3 pbc="T T T"
Cr 19.111 4.071 2.480
Cr 5.198 -0.002 -0.001
Ti 19.952 2.785 -0.034
O 8.757 1.044 0.636
O 14.008 1.038 0.632
O 15.553 3.025 1.843
O 19.148 1.004 0.612
O 20.757 3.028 1.844
O 25.897 2.995 1.824
Li 12.155 2.035 1.239
Li 17.314 2.024 1.233
Li 22.591 2.008 1.223
```